## P
First-principles (PBEsol) data for a geometry-optimized TeAsSN2 structure, as listed in the Alexandria database.

a = 3.6552 Å, b = 3.6552 Å, c = 6.4068 Å
α = 90.00°, β = 90.00°, γ = 90.00°
Space group P4/mmm (No. 123)
Inequivalent atoms, fractional coordinates:
Te1 0.0000 0.0000 0.0000 x1
As1 0.5000 0.5000 0.0000 x1
S1 0.0000 0.0000 0.5000 x1
N1 0.0000 0.5000 0.5000 x2



## Q
First-principles (PBEsol) data for a geometry-optimized TeAsSN2 structure, as listed in the Alexandria database.

a = 3.8439 Å, b = 3.8439 Å, c = 4.7546 Å
α = 90.00°, β = 90.00°, γ = 90.00°
Space group P4/mmm (No. 123)
Inequivalent atoms, fractional coordinates:
Te1 0.0000 0.0000 0.0000 x1
As1 0.5000 0.5000 0.5000 x1
S1 0.5000 0.5000 0.0000 x1
N1 0.0000 0.5000 0.5000 x2



Which is the most stable structure? Q is the most stable.



## P
First-principles (PBEsol) data for a geometry-optimized TlAs2SeN structure, as listed in the Alexandria database.

a = 5.3316 Å, b = 5.3316 Å, c = 5.3372 Å
α = 90.00°, β = 90.00°, γ = 90.00°
Space group P4/mmm (No. 123)
Inequivalent atoms, fractional coordinates:
Tl1 0.0000 0.0000 0.0000 x1
As1 0.0000 0.5000 0.0000 x2
Se1 0.0000 0.0000 0.5000 x1
N1 0.5000 0.5000 0.5000 x1



## Q
First-principles (PBEsol) data for a geometry-optimized TlAs2SeN structure, as listed in the Alexandria database.

a = 4.5323 Å, b = 4.5323 Å, c = 4.3276 Å
α = 90.00°, β = 90.00°, γ = 90.00°
Space group P4/mmm (No. 123)
Inequivalent atoms, fractional coordinates:
Tl1 0.0000 0.0000 0.0000 x1
As1 0.0000 0.5000 0.5000 x2
Se1 0.5000 0.5000 0.0000 x1
N1 0.5000 0.5000 0.5000 x1



Which is the most stable structure? Q is the most stable.



## P
First-principles (PBEsol) data for a geometry-optimized Sr3AsN structure, as listed in the Alexandria database.

a = 5.0524 Å, b = 5.0524 Å, c = 5.0524 Å
α = 90.00°, β = 90.00°, γ = 90.00°
Space group Pm-3m (No. 221)
Inequivalent atoms, fractional coordinates:
Sr1 0.0000 0.0000 0.5000 x3
As1 0.5000 0.5000 0.5000 x1
N1 0.0000 0.0000 0.0000 x1



## Q
First-principles (PBEsol) data for a geometry-optimized Sr3AsN structure, as listed in the Alexandria database.

a = 7.1991 Å, b = 10.1062 Å, c = 7.0839 Å
α = 90.00°, β = 90.00°, γ = 90.00°
Space group Pnma (No. 62)
Inequivalent atoms, fractional coordinates:
Sr1 0.0177 0.2500 0.0662 x4
Sr2 0.2086 0.0351 0.7080 x8
As1 0.0401 0.7500 0.4908 x4
N1 0.0000 0.0000 0.0000 x4



Which is the most stable structure? Q is the most stable.



## P
First-principles (PBEsol) data for a geometry-optimized NaAs structure, as listed in the Alexandria database.

a = 6.2052 Å, b = 5.8701 Å, c = 11.4996 Å
α = 90.00°, β = 116.95°, γ = 90.00°
Space group P2_1/c (No. 14)
Inequivalent atoms, fractional coordinates:
Na1 0.2188 0.1091 0.3306 x4
Na2 0.2332 0.6629 0.5314 x4
As1 0.3097 0.1599 0.6183 x4
As2 0.3204 0.6068 0.2901 x4



## Q
First-principles (PBEsol) data for a geometry-optimized NaAs structure, as listed in the Alexandria database.

a = 4.7751 Å, b = 10.7293 Å, c = 3.6750 Å
α = 90.00°, β = 90.00°, γ = 90.00°
Space group Cmcm (No. 63)
Inequivalent atoms, fractional coordinates:
Na1 0.0000 0.1371 0.2500 x4
As1 0.0000 0.4209 0.2500 x4



Which is the most stable structure? P is the most stable.



## P
First-principles (PBEsol) data for a geometry-optimized Na3As structure, as listed in the Alexandria database.

a = 5.0419 Å, b = 5.0419 Å, c = 8.9855 Å
α = 90.00°, β = 90.00°, γ = 120.00°
Space group P6_3/mmc (No. 194)
Inequivalent atoms, fractional coordinates:
Na1 0.0000 0.0000 0.2500 x2
Na2 0.3333 0.6667 0.0801 x4
As1 0.3333 0.6667 0.7500 x2



## Q
First-principles (PBEsol) data for a geometry-optimized Na3As structure, as listed in the Alexandria database.

a = 7.0928 Å, b = 7.0928 Å, c = 7.0928 Å
α = 90.00°, β = 90.00°, γ = 90.00°
Space group Fm-3m (No. 225)
Inequivalent atoms, fractional coordinates:
Na1 0.0000 0.0000 0.0000 x4
Na2 0.2500 0.2500 0.2500 x8
As1 0.0000 0.0000 0.5000 x4



Which is the most stable structure? P is the most stable.



## P
First-principles (PBEsol) data for a geometry-optimized NbAsRhSe2 structure, as listed in the Alexandria database.

a = 4.8147 Å, b = 4.8147 Å, c = 4.5452 Å
α = 90.00°, β = 90.00°, γ = 90.00°
Space group P4/mmm (No. 123)
Inequivalent atoms, fractional coordinates:
Nb1 0.0000 0.0000 0.0000 x1
As1 0.5000 0.5000 0.0000 x1
Rh1 0.5000 0.5000 0.5000 x1
Se1 0.0000 0.5000 0.5000 x2



## Q
First-principles (PBEsol) data for a geometry-optimized NbAsRhSe2 structure, as listed in the Alexandria database.

a = 4.8736 Å, b = 4.8736 Å, c = 4.9389 Å
α = 90.00°, β = 90.00°, γ = 90.00°
Space group P4/mmm (No. 123)
Inequivalent atoms, fractional coordinates:
Nb1 0.0000 0.0000 0.0000 x1
As1 0.0000 0.0000 0.5000 x1
Rh1 0.5000 0.5000 0.5000 x1
Se1 0.0000 0.5000 0.0000 x2



Which is the most stable structure? P is the most stable.



## P
First-principles (PBEsol) data for a geometry-optimized NdAsO4 structure, as listed in the Alexandria database.

a = 7.2795 Å, b = 7.2795 Å, c = 6.4510 Å
α = 90.00°, β = 90.00°, γ = 90.00°
Space group I4_1/amd (No. 141, origin choice 2)
Inequivalent atoms, fractional coordinates:
Nd1 0.0000 0.2500 0.3750 x4
As1 0.0000 0.2500 0.8750 x4
O1 0.0000 0.0705 0.7039 x16



## Q
First-principles (PBEsol) data for a geometry-optimized NdAsO4 structure, as listed in the Alexandria database.

a = 6.6775 Å, b = 7.1027 Å, c = 8.2669 Å
α = 90.00°, β = 126.17°, γ = 90.00°
Space group P2_1/c (No. 14)
Inequivalent atoms, fractional coordinates:
Nd1 0.1854 0.1513 0.2813 x4
As1 0.3102 0.6623 0.1975 x4
O1 0.1027 0.6552 0.6063 x4
O2 0.1691 0.0060 0.7459 x4
O3 0.3517 0.6075 0.0172 x4
O4 0.3884 0.2129 0.1136 x4



Which is the most stable structure? P is the most stable.



## P
First-principles (PBEsol) data for a geometry-optimized NiAs2Os structure, as listed in the Alexandria database.

a = 4.2921 Å, b = 4.2921 Å, c = 3.0248 Å
α = 90.00°, β = 90.00°, γ = 90.00°
Space group P4/mmm (No. 123)
Inequivalent atoms, fractional coordinates:
Ni1 0.0000 0.0000 0.0000 x1
As1 0.0000 0.5000 0.5000 x2
Os1 0.5000 0.5000 0.0000 x1



## Q
First-principles (PBEsol) data for a geometry-optimized NiAs2Os structure, as listed in the Alexandria database.

a = 5.5779 Å, b = 8.0517 Å, c = 3.0271 Å
α = 90.00°, β = 120.70°, γ = 90.00°
Space group C2/m (No. 12)
Inequivalent atoms, fractional coordinates:
Ni1 0.0000 0.0000 0.0000 x2
As1 0.2500 0.2500 0.5000 x4
Os1 0.0000 0.5000 0.0000 x2



## R
First-principles (PBEsol) data for a geometry-optimized NiAs2Os structure, as listed in the Alexandria database.

a = 6.1201 Å, b = 6.1201 Å, c = 6.1201 Å
α = 90.00°, β = 90.00°, γ = 90.00°
Space group F-43m (No. 216)
Inequivalent atoms, fractional coordinates:
Ni1 0.0000 0.0000 0.0000 x4
As1 0.0000 0.0000 0.5000 x4
As2 0.2500 0.2500 0.7500 x4
Os1 0.2500 0.2500 0.2500 x4



Which is the most stable structure? P is the most stable.



## P
First-principles (PBEsol) data for a geometry-optimized Ni2AsP structure, as listed in the Alexandria database.

a = 4.0456 Å, b = 4.0456 Å, c = 3.0278 Å
α = 90.00°, β = 90.00°, γ = 90.00°
Space group P4/mmm (No. 123)
Inequivalent atoms, fractional coordinates:
Ni1 0.0000 0.5000 0.0000 x2
As1 0.0000 0.0000 0.5000 x1
P1 0.5000 0.5000 0.5000 x1



## Q
First-principles (PBEsol) data for a geometry-optimized Ni2AsP structure, as listed in the Alexandria database.

a = 3.8519 Å, b = 4.3233 Å, c = 6.0419 Å
α = 90.00°, β = 90.00°, γ = 90.00°
Space group Immm (No. 71)
Inequivalent atoms, fractional coordinates:
Ni1 0.0000 0.0000 0.2184 x4
As1 0.0000 0.5000 0.0000 x2
P1 0.0000 0.5000 0.5000 x2



Which is the most stable structure? Q is the most stable.



## P
First-principles (PBEsol) data for a geometry-optimized ReNiAs structure, as listed in the Alexandria database.

a = 5.7335 Å, b = 5.7335 Å, c = 5.7335 Å
α = 90.00°, β = 90.00°, γ = 90.00°
Space group F-43m (No. 216)
Inequivalent atoms, fractional coordinates:
Re1 0.0000 0.0000 0.0000 x4
Ni1 0.2500 0.2500 0.2500 x4
As1 0.2500 0.2500 0.7500 x4



## Q
First-principles (PBEsol) data for a geometry-optimized ReNiAs structure, as listed in the Alexandria database.

a = 3.0265 Å, b = 3.0265 Å, c = 8.5983 Å
α = 90.00°, β = 90.00°, γ = 90.00°
Space group I4mm (No. 107)
Inequivalent atoms, fractional coordinates:
Re1 0.0000 0.0000 0.0000 x2
Ni1 0.0000 0.0000 0.3210 x2
As1 0.0000 0.0000 0.6691 x2



Which is the most stable structure? Q is the most stable.



## P
First-principles (PBEsol) data for a geometry-optimized ReNiAs structure, as listed in the Alexandria database.

a = 5.6060 Å, b = 5.6060 Å, c = 5.6060 Å
α = 90.00°, β = 90.00°, γ = 90.00°
Space group F-43m (No. 216)
Inequivalent atoms, fractional coordinates:
Re1 0.0000 0.0000 0.0000 x4
Ni1 0.2500 0.2500 0.2500 x4
As1 0.0000 0.0000 0.5000 x4



## Q
First-principles (PBEsol) data for a geometry-optimized ReNiAs structure, as listed in the Alexandria database.

a = 2.8456 Å, b = 2.8456 Å, c = 5.8144 Å
α = 90.00°, β = 90.00°, γ = 120.00°
Space group P3m1 (No. 156)
Inequivalent atoms, fractional coordinates:
Re1 0.0000 0.0000 0.0000 x1
Ni1 0.6667 0.3333 0.3436 x1
As1 0.3333 0.6667 0.6637 x1



Which is the most stable structure? Q is the most stable.



## P
First-principles (PBEsol) data for a geometry-optimized ReNiAs2 structure, as listed in the Alexandria database.

a = 6.1428 Å, b = 6.1428 Å, c = 6.1428 Å
α = 90.00°, β = 90.00°, γ = 90.00°
Space group F-43m (No. 216)
Inequivalent atoms, fractional coordinates:
Re1 0.0000 0.0000 0.0000 x4
Ni1 0.2500 0.2500 0.7500 x4
As1 0.0000 0.0000 0.5000 x4
As2 0.2500 0.2500 0.2500 x4



## Q
First-principles (PBEsol) data for a geometry-optimized ReNiAs2 structure, as listed in the Alexandria database.

a = 2.6601 Å, b = 4.3805 Å, c = 5.0492 Å
α = 90.00°, β = 92.10°, γ = 90.00°
Space group P2/m (No. 10)
Inequivalent atoms, fractional coordinates:
Re1 0.0000 0.0000 0.0000 x1
Ni1 0.5000 0.0000 0.5000 x1
As1 0.1361 0.5000 0.2644 x2



Which is the most stable structure? Q is the most stable.